SrLi2Ir: optimized geometry, GGA-PBE.

Geometry as CIF:
```
data_SrLi2Ir
_cell_length_a 6.910
_cell_length_b 6.910
_cell_length_c 6.910
_cell_angle_alpha 90.00
_cell_angle_beta 90.00
_cell_angle_gamma 90.00
_space_group_name_H-M_alt 'F -4 3 m'
_space_group_IT_number 216
_space_group_name_Hall 'F -4 2 3'
loop_
_atom_site_label
_atom_site_type_symbol
_atom_site_fract_x
_atom_site_fract_y
_atom_site_fract_z
Sr1 Sr 0.000 0.000 0.000
Li1 Li 0.000 0.000 0.500
Li2 Li 0.250 0.250 0.250
Ir1 Ir 0.250 0.250 0.750
```

Properties
Excess energy over the best structure of this formula in the dataset, meV/atom: 138.5
Density, Mg/m³: 5.91
Magnetic moment, μB per cell: 0.00
Raw total energy, eV/f.u.: -13.97

***

Sr6LiIr: optimized geometry, GGA-PBE.

Geometry as CIF:
```
data_Sr6LiIr
_cell_length_a 7.969
_cell_length_b 12.728
_cell_length_c 7.568
_cell_angle_alpha 90.00
_cell_angle_beta 106.99
_cell_angle_gamma 90.00
_space_group_name_H-M_alt 'C 1 2/m 1'
_space_group_IT_number 12
_space_group_name_Hall '-C 2y'
loop_
_atom_site_label
_atom_site_type_symbol
_atom_site_fract_x
_atom_site_fract_y
_atom_site_fract_z
Sr1 Sr 0.198 0.168 0.241
Sr2 Sr 0.249 0.500 0.212
Li1 Li 0.000 0.500 0.500
Ir1 Ir 0.000 0.000 0.000
```

Properties
Density, Mg/m³: 3.28
Magnetic moment, μB per cell: 0.00
Raw total energy, eV/f.u.: -21.39

***

SrLiIr: optimized geometry, GGA-PBE.

Geometry as CIF:
```
data_SrLiIr
_cell_length_a 3.3625
_cell_length_b 3.3625
_cell_length_c 7.2435
_cell_angle_alpha 90.00
_cell_angle_beta 90.00
_cell_angle_gamma 120.00
_space_group_name_H-M_alt 'P 3 m 1'
_space_group_IT_number 156
_space_group_name_Hall 'P 3 -2"'
loop_
_atom_site_label
_atom_site_type_symbol
_atom_site_fract_x
_atom_site_fract_y
_atom_site_fract_z
Sr1 Sr 0.0000 0.0000 0.0000
Li1 Li 0.3333 0.6667 0.5412
Ir1 Ir 0.6667 0.3333 0.2995
```

Properties
Excess energy over the best structure of this formula in the dataset, meV/atom: 476.4
Density, Mg/m³: 6.71
Magnetic moment, μB per cell: 0.00
Raw total energy, eV/f.u.: -11.10